# ScSnPt GGA-PBE relaxed
# - total energy (eV/atom) = -6.460
data_ScSnPt
_chemical_formula_sum 'Sc3 Sn3 Pt3'
_cell_length_a 7.3579
_cell_length_b 7.3579
_cell_length_c 3.7907
_cell_angle_alpha 90.00
_cell_angle_beta 90.00
_cell_angle_gamma 120.00
_space_group_name_H-M_alt 'P -6 2 m'
_space_group_IT_number 189
_space_group_name_Hall 'P -6 -2'
loop_
_atom_site_label
_atom_site_type_symbol
_atom_site_fract_x
_atom_site_fract_y
_atom_site_fract_z
Sc1 Sc 0.0000 0.6025 0.0000
Sn1 Sn 0.0000 0.2683 0.5000
Pt1 Pt 0.0000 0.0000 0.0000
Pt2 Pt 0.3333 0.6667 0.5000